PrDy3Pt2: relaxed, GGA-PBE.

Results
Energy above the most stable polymorph in this dataset = 0.0 kJ/mol of atoms
ΔH_f (0 K) = -0.91 eV per atom

```
data_PrDy3Pt2
_cell_length_a 4.8104
_cell_length_b 8.9028
_cell_length_c 7.2267
_cell_angle_alpha 90.00
_cell_angle_beta 90.00
_cell_angle_gamma 90.00
_symmetry_space_group_name_H-M 'P m c 21'
_symmetry_Int_Tables_number 26
loop_
_symmetry_equiv_pos_as_xyz
'x,y,z'
'-x,-y,z+1/2'
'-x,y,z'
'x,-y,z+1/2'
loop_
_atom_site_label
_atom_site_fract_x
_atom_site_fract_y
_atom_site_fract_z
Pr1 0.0000 0.0801 0.0000
Dy1 0.0000 0.3359 0.6362
Dy2 0.5000 0.1746 0.3496
Dy3 0.5000 0.4209 0.9826
Pt1 0.0000 0.3462 0.2386
Pt2 0.5000 0.1656 0.7441
```